CsLiBeO2 GGA-PBE relaxed; total moment = 0.00 μB per formula unit; uncorrected formation energy = -1.85 eV/atom
1.0
2.7416 -5.9380 0.0000
2.7416 5.9380 0.0000
0.0000 0.0000 4.8094
Cs Li Be O
2 2 2 4
Direct
0.2500 0.7500 0.7561
0.7500 0.2500 0.2439
0.2500 0.2500 0.0000
0.7500 0.7500 0.0000
0.0000 0.0000 0.5000
0.5000 0.5000 0.5000
0.0733 0.9267 0.2585
0.4267 0.5733 0.2585
0.5733 0.4267 0.7415
0.9267 0.0733 0.7415

---

Cs2LiBeP2 GGA-PBE relaxed; total moment = 0.00 μB per formula unit; energy of formation = -334 meV/atom
1.0
-3.0674 9.6674 3.0013
3.0674 -9.6674 3.0013
3.0674 9.6674 -3.0013
Cs Li Be P
4 2 2 4
Direct
0.1456 0.2382 0.3837
0.3544 0.7382 0.0926
0.6456 0.2618 0.9074
0.8544 0.7618 0.6163
0.2500 0.2500 0.0000
0.7500 0.7500 0.0000
0.2500 0.7500 0.5000
0.7500 0.2500 0.5000
0.0569 0.7088 0.7657
0.4431 0.2088 0.6519
0.5569 0.7912 0.3481
0.9431 0.2912 0.2343

---

CsLiBe2Pt GGA-PBE relaxed; total moment = 0.00 μB per formula unit; energy of formation = 998 meV/atom
1.0
4.8231 0.0000 0.0000
0.0000 4.8231 0.0000
0.0000 0.0000 4.7602
Cs Li Be Pt
1 1 2 1
Direct
0.0000 0.0000 0.0000
0.5000 0.5000 0.5000
0.0000 0.5000 0.5000
0.5000 0.0000 0.5000
0.5000 0.5000 0.0000

---

CsLiBeS2 GGA-PBE relaxed; total moment = 0.00 μB per formula unit; uncorrected formation energy = -1.08 eV/atom
1.0
3.1292 -7.0142 0.0000
3.1292 7.0142 0.0000
0.0000 0.0000 5.7082
Cs Li Be S
2 2 2 4
Direct
0.2500 0.7500 0.7512
0.7500 0.2500 0.2488
0.2500 0.2500 0.0000
0.7500 0.7500 0.0000
0.0000 0.0000 0.5000
0.5000 0.5000 0.5000
0.0921 0.9079 0.2561
0.4079 0.5921 0.2561
0.5921 0.4079 0.7439
0.9079 0.0921 0.7439

---

CsLiBeSi2 GGA-PBE relaxed; total moment = 0.00 μB per formula unit; uncorrected formation energy = 1.22 eV/atom
1.0
4.7366 0.0000 0.0000
0.0000 4.7366 0.0000
0.0000 0.0000 5.8704
Cs Li Be Si
1 1 1 2
Direct
0.0000 0.0000 0.0000
0.0000 0.0000 0.5000
0.5000 0.5000 0.0000
0.0000 0.5000 0.5000
0.5000 0.0000 0.5000

---

CsLiBeTe2 GGA-PBE relaxed; total moment = 0.00 μB per formula unit; uncorrected formation energy = -0.69 eV/atom
1.0
8.4760 0.0000 0.0000
0.0000 6.4691 0.0000
-2.7792 0.0000 6.2856
Cs Li Be Te
2 2 2 4
Direct
0.0000 0.2468 0.2500
0.0000 0.7532 0.7500
0.5000 0.5000 0.2500
0.5000 0.5000 0.7500
0.5000 0.0000 0.0000
0.5000 0.0000 0.5000
0.2960 0.2472 0.8982
0.2960 0.7528 0.3982
0.7040 0.2472 0.6018
0.7040 0.7528 0.1018

---

CsLiBeTl2 GGA-PBE relaxed; total moment = 0.00 μB per formula unit; energy of formation = 1221 meV/atom
1.0
6.6016 0.0000 0.0000
0.0000 6.6016 0.0000
0.0000 0.0000 5.8824
Cs Li Be Tl
1 1 1 2
Direct
0.0000 0.0000 0.0000
0.5000 0.5000 0.5000
0.0000 0.0000 0.5000
0.0000 0.5000 0.0000
0.5000 0.0000 0.0000

---

Cs2MgBe GGA-PBE relaxed; total moment = 0.00 μB per formula unit; energy of formation = 573 meV/atom
1.0
-7.0173 7.0173 2.5334
7.0173 -7.0173 2.5334
7.0173 7.0173 -2.5334
Cs Mg Be
4 2 2
Direct
0.3750 0.1861 0.3111
0.8139 0.1250 0.1889
0.8750 0.0639 0.6889
0.9361 0.6250 0.8111
0.2500 0.7500 0.5000
0.5000 0.5000 0.0000
0.0000 0.0000 0.0000
0.7500 0.2500 0.5000

---

CsMg3Be GGA-PBE relaxed; total moment = 0.00 μB per formula unit; energy of formation = 360 meV/atom
1.0
5.1969 0.0000 0.0000
0.0000 5.1969 0.0000
0.0000 0.0000 5.1969
Cs Mg Be
1 3 1
Direct
0.0000 0.0000 0.0000
0.0000 0.5000 0.5000
0.5000 0.0000 0.5000
0.5000 0.5000 0.0000
0.5000 0.5000 0.5000

---

CsMgBe3 GGA-PBE relaxed; total moment = 0.00 μB per formula unit; energy of formation = 2287 meV/atom
1.0
5.9930 0.0000 0.0000
0.0000 5.9930 0.0000
0.0000 0.0000 5.9930
Cs Mg Be
1 1 3
Direct
0.0000 0.0000 0.0000
0.5000 0.5000 0.5000
0.0000 0.0000 0.5000
0.0000 0.5000 0.0000
0.5000 0.0000 0.0000

---

CsMgBe3 GGA-PBE relaxed; total moment = 0.00 μB per formula unit; energy of formation = 1296 meV/atom
1.0
5.0680 0.0000 0.0000
0.0000 5.0680 0.0000
0.0000 0.0000 5.0680
Cs Mg Be
1 1 3
Direct
0.0000 0.0000 0.0000
0.5000 0.5000 0.5000
0.0000 0.5000 0.5000
0.5000 0.0000 0.5000
0.5000 0.5000 0.0000

---

CsMg3Be GGA-PBE relaxed; total moment = 0.00 μB per formula unit; energy of formation = 1601 meV/atom
1.0
7.6109 0.0000 0.0000
0.0000 7.6109 0.0000
0.0000 0.0000 7.6109
Cs Mg Be
1 3 1
Direct
0.0000 0.0000 0.0000
0.0000 0.0000 0.5000
0.0000 0.5000 0.0000
0.5000 0.0000 0.0000
0.5000 0.5000 0.5000

---

Question: What is the formula in the seventh record?
Answer: CsLiBeTl2